# 1
Computed, not measured: an optimized crystal structure of TaAgRu2 at the GGA-PBE level of DFT.

Unit cell a=2.7921 b=2.7921 c=8.1597 alpha=90.00 beta=90.00 gamma=90.00
Element x y z (fractional)
Ta: 0.0000 0.0000 0.0000
Ag: 0.5000 0.5000 0.2707
Ru: 0.0000 0.0000 0.5369
Ru: 0.5000 0.5000 0.7431

Values from the calculation:
The calculation puts the total magnetization at 0.000 μB per atom. Its volume is 64 Å³/f.u. As for the energy of formation: 186 meV per atom. For the energy relative to the lowest polymorph listed for this composition, the calculation gives 0.116 eV per atom. As for the space group: P4mm, No. 99.



# 2
Computed, not measured: an optimized crystal structure of SrIn2Pd3 at the GGA-PBE level of DFT.

Unit cell a=4.6534 b=4.6534 c=13.7790 alpha=90.00 beta=90.00 gamma=120.00
Element x y z (fractional)
Sr: 0.0000 0.0000 0.2500
Sr: 0.0000 0.0000 0.7500
In: 0.3333 0.6667 0.0808
In: 0.3333 0.6667 0.4192
In: 0.6667 0.3333 0.5808
In: 0.6667 0.3333 0.9192
Pd: 0.0000 0.0000 0.0000
Pd: 0.0000 0.0000 0.5000
Pd: 0.3333 0.6667 0.6185
Pd: 0.3333 0.6667 0.8815
Pd: 0.6667 0.3333 0.1185
Pd: 0.6667 0.3333 0.3815

Values from the calculation:
The calculation puts the total magnetization at 0.000 μB per atom. Its volume is 129 Å³/f.u. As for the energy of formation: -594 meV per atom. As for the space group: P6_3/mmc, No. 194.



# 3
Computed, not measured: an optimized crystal structure of Pu2TlSn9 at the GGA-PBE level of DFT.

Unit cell a=5.9393 b=6.7359 c=8.8559 alpha=78.48 beta=74.01 gamma=72.13
Element x y z (fractional)
Pu: 0.0088 0.3354 0.1716
Pu: 0.9912 0.6646 0.8284
Tl: 0.0000 0.0000 0.5000
Sn: 0.0000 0.5000 0.5000
Sn: 0.0017 0.8369 0.1581
Sn: 0.4913 0.3248 0.6642
Sn: 0.4942 0.8300 0.6753
Sn: 0.5000 0.0000 0.0000
Sn: 0.5000 0.5000 0.0000
Sn: 0.5058 0.1700 0.3247
Sn: 0.5087 0.6752 0.3358
Sn: 0.9983 0.1631 0.8419

Values from the calculation:
The calculation puts the total magnetization at 0.945 μB per atom. Its volume is 322 Å³/f.u. As for the energy of formation: -108 meV per atom. As for the space group: P-1, No. 2.



# 4
Computed, not measured: an optimized crystal structure of TlBiTe2 at the GGA-PBE level of DFT.

Unit cell a=8.6911 b=8.6911 c=8.6911 alpha=30.13 beta=30.13 gamma=30.13
Element x y z (fractional)
Tl: 0.0000 0.0000 0.0000
Bi: 0.1704 0.1704 0.1704
Te: 0.5778 0.5778 0.5778
Te: 0.7654 0.7654 0.7654

Values from the calculation:
As for the formation energy (no corrections): -0.30 eV/atom. The calculation puts the total magnetization at 0.000 μB per atom. Its volume is 147 Å³/f.u. As for the space group: R3m, No. 160.



# 5
Computed, not measured: an optimized crystal structure of Li2NpTe4 at the GGA-PBE level of DFT.

Unit cell a=8.2222 b=8.2222 c=8.2222 alpha=115.25 beta=109.28 gamma=104.08
Element x y z (fractional)
Li: 0.0000 0.0000 0.0000
Li: 0.2993 0.5493 0.7500
Li: 0.5000 0.0000 0.5000
Li: 0.7007 0.4507 0.2500
Np: 0.0000 0.0000 0.5000
Np: 0.0000 0.5000 0.0000
Te: 0.1495 0.6889 0.4606
Te: 0.2717 0.3111 0.9606
Te: 0.2901 0.2077 0.4176
Te: 0.2901 0.8725 0.0824
Te: 0.7099 0.1275 0.9176
Te: 0.7099 0.7923 0.5824
Te: 0.7283 0.6889 0.0394
Te: 0.8505 0.3111 0.5394

Values from the calculation:
As for the formation energy (no corrections): -0.55 eV/atom. The calculation puts the total magnetization at 0.422 μB per atom. Its volume is 212 Å³/f.u. As for the space group: Imma, No. 74.



# 6
Computed, not measured: an optimized crystal structure of Na3Ge2Pt4 at the GGA-PBE level of DFT.

Unit cell a=5.8972 b=5.8972 c=8.8150 alpha=103.75 beta=103.75 gamma=40.40
Element x y z (fractional)
Na: 0.0000 0.0000 0.0000
Na: 0.3749 0.3749 0.6211
Na: 0.6251 0.6251 0.3789
Ge: 0.3215 0.3215 0.2227
Ge: 0.6785 0.6785 0.7773
Pt: 0.0901 0.0901 0.6285
Pt: 0.2751 0.2751 0.9117
Pt: 0.7249 0.7249 0.0883
Pt: 0.9099 0.9099 0.3715

Values from the calculation:
The calculation puts the total magnetization at 0.000 μB per atom. Its volume is 192 Å³/f.u. As for the energy of formation: -373 meV per atom. As for the space group: C2/m, No. 12.